This record from the Alexandria database describes a geometry-optimized KBiF2 structure. The functional is GGA-PBE.

Geometry as POSCAR:
```
KBiF2
1.0
6.737 0.000 0.000
0.000 6.737 0.000
0.000 0.000 7.903
K Bi F
4 4 8
direct
0.000 0.000 0.000
0.000 0.500 0.250
0.500 0.000 0.750
0.500 0.500 0.500
0.000 0.000 0.500
0.000 0.500 0.750
0.500 0.000 0.250
0.500 0.500 0.000
0.247 0.750 0.625
0.250 0.247 0.375
0.250 0.253 0.875
0.253 0.750 0.125
0.747 0.250 0.125
0.750 0.747 0.875
0.750 0.753 0.375
0.753 0.250 0.625
```

Properties
The value obtained for the total energy is -61.42 eV for the cell shown. As for the distance to the lowest polymorph of the same formula: 449 meV per atom. The calculation puts the uncorrected formation energy at -160 kJ/mol of atoms. The calculated volume is 358.7 Å³ per cell.